Record 1
DFT (PBE) results for crystalline SmTi4S8 at its relaxed geometry.

Computed properties:
formation energy without anion corrections	-1.507	eV/atom
energy	-6.84	eV/atom
mass density	3.646	g/cm3

a = 6.9037 Å, b = 6.9037 Å, c = 19.8069 Å
α = 90.00°, β = 90.00°, γ = 120.00°
Space group R-3m (No. 166, hexagonal axes)
One atom of each set of equivalent atoms:
Sm 0.0000 0.0000 0.0000 (multiplicity 3)
Ti 0.0000 0.0000 0.5000 (multiplicity 3)
Ti 0.0000 0.5000 0.5000 (multiplicity 9)
S 0.0000 0.0000 0.2371 (multiplicity 6)
S 0.0073 0.5036 0.2401 (multiplicity 18)

=====

Record 2
DFT (PBE) results for crystalline Sm2TiS5 at its relaxed geometry.

Computed properties:
polymorph energy (0 for the lowest one)	118.7	meV per atom
formation energy without anion corrections	-1.635	eV/atom
energy	-6.38	eV/atom
mass density	3.850	g/cm3

a = 5.2002 Å, b = 13.4231 Å, c = 12.5795 Å
α = 90.00°, β = 90.00°, γ = 90.00°
Space group Cmcm (No. 63)
One atom of each set of equivalent atoms:
Sm 0.0000 0.1496 0.0673 (multiplicity 8)
Ti 0.0000 0.1758 0.7500 (multiplicity 4)
S 0.0000 0.0490 0.6246 (multiplicity 8)
S 0.0000 0.2801 0.2500 (multiplicity 4)
S 0.0000 0.2976 0.5952 (multiplicity 8)

=====

Record 3
DFT (PBE) results for crystalline Sm3Ti5S12 at its relaxed geometry.

Computed properties:
formation energy without anion corrections	-1.490	eV/atom
energy	-6.65	eV/atom
mass density	4.036	g/cm3

a = 15.2385 Å, b = 15.2385 Å, c = 15.2385 Å
α = 90.00°, β = 90.00°, γ = 90.00°
Space group Ia-3d (No. 230)
One atom of each set of equivalent atoms:
Sm 0.0000 0.2500 0.1250 (multiplicity 24)
Ti 0.0000 0.0000 0.0000 (multiplicity 16)
Ti 0.0000 0.2500 0.3750 (multiplicity 24)
S 0.0290 0.0598 0.6498 (multiplicity 96)

=====

Record 4
DFT (PBE) results for crystalline Sm2TiS5 at its relaxed geometry.

Computed properties:
polymorph energy (0 for the lowest one)	0.0	meV per atom
formation energy without anion corrections	-1.753	eV/atom
energy	-6.50	eV/atom
mass density	5.284	g/cm3

a = 11.2508 Å, b = 7.8744 Å, c = 7.2205 Å
α = 90.00°, β = 90.00°, γ = 90.00°
Space group Pnma (No. 62)
One atom of each set of equivalent atoms:
Sm 0.1736 0.0014 0.0527 (multiplicity 8)
Ti 0.0091 0.7500 0.5768 (multiplicity 4)
S 0.0066 0.7500 0.9397 (multiplicity 4)
S 0.0735 0.0325 0.6707 (multiplicity 8)
S 0.1868 0.7500 0.3566 (multiplicity 4)
S 0.2032 0.2500 0.3403 (multiplicity 4)

=====

Record 5
DFT (PBE) results for crystalline Sm2TiTl3S6 at its relaxed geometry.

Computed properties:
formation energy without anion corrections	-1.254	eV/atom
energy	-5.35	eV/atom
mass density	6.256	g/cm3

a = 6.8667 Å, b = 11.8777 Å, c = 7.8583 Å
α = 90.00°, β = 107.09°, γ = 90.00°
Space group C2/m (No. 12)
One atom of each set of equivalent atoms:
Sm 0.0000 0.1654 0.0000 (multiplicity 4)
Ti 0.0000 0.5000 0.0000 (multiplicity 2)
Tl 0.0000 0.0000 0.5000 (multiplicity 2)
Tl 0.0000 0.3280 0.5000 (multiplicity 4)
S 0.2163 0.3476 0.1928 (multiplicity 8)
S 0.2398 0.5000 0.7971 (multiplicity 4)

=====

Record 6
DFT (PBE) results for crystalline Sm3TiTl4S8 at its relaxed geometry.

Computed properties:
formation energy without anion corrections	-1.297	eV/atom
energy	-5.33	eV/atom
mass density	6.257	g/cm3

a = 8.0078 Å, b = 8.0078 Å, c = 22.5515 Å
α = 90.00°, β = 90.00°, γ = 120.00°
Space group R-3m (No. 166, hexagonal axes)
One atom of each set of equivalent atoms:
Sm 0.0000 0.5000 0.0000 (multiplicity 9)
Ti 0.0000 0.0000 0.0000 (multiplicity 3)
Tl 0.0000 0.0000 0.5000 (multiplicity 3)
Tl 0.0000 0.5000 0.5000 (multiplicity 9)
S 0.0000 0.0000 0.2645 (multiplicity 6)
S 0.0250 0.5125 0.7316 (multiplicity 18)

=====

Record 7
DFT (PBE) results for crystalline SmTlS2 at its relaxed geometry.

Computed properties:
formation energy without anion corrections	-1.446	eV/atom
energy	-5.28	eV/atom
mass density	6.230	g/cm3

a = 4.1136 Å, b = 4.1136 Å, c = 22.8559 Å
α = 90.00°, β = 90.00°, γ = 120.00°
Space group R3m (No. 160, hexagonal axes)
One atom of each set of equivalent atoms:
Sm 0.0000 0.0000 0.0000 (multiplicity 3)
Tl 0.0000 0.0000 0.8293 (multiplicity 3)
S 0.0000 0.0000 0.4014 (multiplicity 3)
S 0.0000 0.0000 0.6013 (multiplicity 3)

=====

Record 8
DFT (PBE) results for crystalline Sm2Tl4S5 at its relaxed geometry.

Computed properties:
formation energy without anion corrections	-0.967	eV/atom
energy	-4.56	eV/atom
mass density	5.865	g/cm3

a = 4.1516 Å, b = 4.1516 Å, c = 72.7605 Å
α = 90.00°, β = 90.00°, γ = 120.00°
Space group R-3m (No. 166, hexagonal axes)
One atom of each set of equivalent atoms:
Sm 0.0000 0.0000 0.1421 (multiplicity 6)
Tl 0.0000 0.0000 0.3116 (multiplicity 6)
Tl 0.0000 0.0000 0.4109 (multiplicity 6)
S 0.0000 0.0000 0.2086 (multiplicity 6)
S 0.0000 0.0000 0.3756 (multiplicity 6)
S 0.0000 0.0000 0.5000 (multiplicity 3)

=====

Record 9
DFT (PBE) results for crystalline SmTl3S3 at its relaxed geometry.

Computed properties:
formation energy without anion corrections	-0.999	eV/atom
energy	-4.46	eV/atom
mass density	6.499	g/cm3

a = 8.8175 Å, b = 4.1362 Å, c = 12.0719 Å
α = 90.00°, β = 93.76°, γ = 90.00°
Space group P2_1/m (No. 11)
One atom of each set of equivalent atoms:
Sm 0.1147 0.2500 0.3824 (multiplicity 2)
Tl 0.1407 0.2500 0.8755 (multiplicity 2)
Tl 0.3327 0.7500 0.1464 (multiplicity 2)
Tl 0.3836 0.7500 0.6342 (multiplicity 2)
S 0.0964 0.2500 0.1502 (multiplicity 2)
S 0.1041 0.2500 0.6157 (multiplicity 2)
S 0.3317 0.7500 0.3909 (multiplicity 2)

=====

Record 10
DFT (PBE) results for crystalline SmTlS14 at its relaxed geometry.

Computed properties:
formation energy without anion corrections	-0.221	eV/atom
energy	-4.28	eV/atom
mass density	2.712	g/cm3

a = 16.1340 Å, b = 8.7580 Å, c = 14.0183 Å
α = 90.00°, β = 96.46°, γ = 90.00°
Space group C2/c (No. 15)
One atom of each set of equivalent atoms:
Sm 0.2500 0.2500 0.0000 (multiplicity 4)
Tl 0.0000 0.0152 0.7500 (multiplicity 4)
S 0.0526 0.4425 0.8977 (multiplicity 8)
S 0.0565 0.3915 0.2930 (multiplicity 8)
S 0.1142 0.2523 0.8555 (multiplicity 8)
S 0.1492 0.0171 0.0773 (multiplicity 8)
S 0.1670 0.3447 0.5565 (multiplicity 8)
S 0.2239 0.4835 0.1328 (multiplicity 8)
S 0.2288 0.1537 0.6170 (multiplicity 8)

=====

Record 11
DFT (PBE) results for crystalline Sm4Tl3S8 at its relaxed geometry.

Computed properties:
formation energy without anion corrections	-1.365	eV/atom
energy	-5.30	eV/atom
mass density	5.990	g/cm3

a = 11.7407 Å, b = 11.6853 Å, c = 8.2094 Å
α = 90.00°, β = 133.60°, γ = 90.00°
Space group C2/m (No. 12)
One atom of each set of equivalent atoms:
Sm 0.0000 0.0000 0.0000 (multiplicity 2)
Sm 0.0000 0.0000 0.5000 (multiplicity 2)
Sm 0.2500 0.2500 0.0000 (multiplicity 4)
Tl 0.0000 0.5000 0.5000 (multiplicity 2)
Tl 0.2500 0.2500 0.5000 (multiplicity 4)
S 0.0000 0.2382 0.5000 (multiplicity 4)
S 0.0000 0.2414 0.0000 (multiplicity 4)
S 0.2199 0.0000 0.4682 (multiplicity 4)
S 0.2303 0.0000 0.9763 (multiplicity 4)

=====

Record 12
DFT (PBE) results for crystalline SmTlS2 at its relaxed geometry.

Computed properties:
formation energy without anion corrections	-1.468	eV/atom
energy	-5.30	eV/atom
mass density	6.281	g/cm3

a = 4.1280 Å, b = 4.1280 Å, c = 22.5135 Å
α = 90.00°, β = 90.00°, γ = 120.00°
Space group R-3m (No. 166, hexagonal axes)
One atom of each set of equivalent atoms:
Sm 0.0000 0.0000 0.0000 (multiplicity 3)
Tl 0.0000 0.0000 0.5000 (multiplicity 3)
S 0.0000 0.0000 0.2660 (multiplicity 6)

=====

> energy of number 1 (SmTi4S8)?

-6.84 eV/atom

=====

> The lowest formation energy without anion corrections belongs to which entry?

number 4

=====

What did the eleventh record say?
DFT (PBE) results for crystalline Sm4Tl3S8 at its relaxed geometry.

Computed properties:
formation energy without anion corrections	-1.365	eV/atom
energy	-5.30	eV/atom
mass density	5.990	g/cm3

a = 11.7407 Å, b = 11.6853 Å, c = 8.2094 Å
α = 90.00°, β = 133.60°, γ = 90.00°
Space group C2/m (No. 12)
One atom of each set of equivalent atoms:
Sm 0.0000 0.0000 0.0000 (multiplicity 2)
Sm 0.0000 0.0000 0.5000 (multiplicity 2)
Sm 0.2500 0.2500 0.0000 (multiplicity 4)
Tl 0.0000 0.5000 0.5000 (multiplicity 2)
Tl 0.2500 0.2500 0.5000 (multiplicity 4)
S 0.0000 0.2382 0.5000 (multiplicity 4)
S 0.0000 0.2414 0.0000 (multiplicity 4)
S 0.2199 0.0000 0.4682 (multiplicity 4)
S 0.2303 0.0000 0.9763 (multiplicity 4)

=====

> Which value of energy does entry 4 give?

-6.50 eV/atom